! MgMnSi2O6, optimized geometry, DFT GGA+U; values from VASP
&SYSTEM
  ibrav = 0, nat = 20, ntyp = 4
/
ATOMIC_SPECIES
Mg 24.30 Mg.upf
Mn 54.94 Mn.upf
Si 28.09 Si.upf
O 16.00 O.upf
ATOMIC_POSITIONS angstrom
Mg 3.584 2.344 3.775
Mg 4.634 -2.344 1.258
Mn 4.634 0.953 1.258
Mn 3.584 -0.953 3.775
Si 0.679 0.795 3.482
Si 1.729 -0.795 0.965
Si 6.489 0.795 4.068
Si 7.539 -0.795 1.551
O 3.180 2.405 1.808
O 0.806 0.231 1.903
O -0.244 -0.231 4.420
O 2.167 0.887 4.154
O 6.088 2.405 0.709
O 3.217 -0.887 1.637
O 5.001 0.887 3.397
O 2.130 -2.405 4.325
O 6.051 -0.887 0.880
O 8.462 0.231 0.614
O 7.412 -0.231 3.131
O 5.038 -2.405 3.226
CELL_PARAMETERS angstrom
5.159 -4.575 0.000
5.159 4.575 0.000
-2.101 0.000 5.034
! Crystal system: monoclinic
! Distance to the lowest polymorph of the same formula in eV per atom: 0.020